1.
# Ba2ZrCr, optimized geometry, DFT PBE
data_Ba2ZrCr
_chemical_formula_sum 'Ba2 Zr1 Cr1'
_cell_length_a 10.1698
_cell_length_b 10.1698
_cell_length_c 4.1646
_cell_angle_alpha 101.70
_cell_angle_beta 101.70
_cell_angle_gamma 20.67
_space_group_name_H-M_alt 'P 1'
_space_group_IT_number 1
loop_
_space_group_symop_operation_xyz
'x,y,z'
loop_
_atom_site_label
_atom_site_type_symbol
_atom_site_fract_x
_atom_site_fract_y
_atom_site_fract_z
Ba1 Ba 0.1536 0.1536 0.1507
Ba2 Ba 0.8464 0.8464 0.8493
Zr1 Zr 0.0000 0.0000 0.5000
Cr1 Cr 0.5000 0.5000 0.0000
# **Calculated total energy**: -19.57 eV for the cell shown
# **Energy above the most stable polymorph in this dataset**: 81.9 meV/atom
# **Mass density**: 4.66 g/cm3
# **Formation energy from the elements**: 2.4 eV/f.u.

=====

2.
# BaZr2Cr, optimized geometry, DFT PBE
data_BaZr2Cr
_chemical_formula_sum 'Ba1 Zr2 Cr1'
_cell_length_a 6.0812
_cell_length_b 6.0812
_cell_length_c 3.1434
_cell_angle_alpha 90.00
_cell_angle_beta 90.00
_cell_angle_gamma 119.63
_space_group_name_H-M_alt 'P 1'
_space_group_IT_number 1
loop_
_space_group_symop_operation_xyz
'x,y,z'
loop_
_atom_site_label
_atom_site_type_symbol
_atom_site_fract_x
_atom_site_fract_y
_atom_site_fract_z
Ba1 Ba 0.0000 0.0000 0.0000
Zr1 Zr 0.0000 0.5000 0.5000
Zr2 Zr 0.5000 0.0000 0.5000
Cr1 Cr 0.5000 0.5000 0.0000
# **Calculated total energy**: -25.13 eV for the cell shown
# **Energy above the most stable polymorph in this dataset**: 493.0 meV/atom
# **Mass density**: 6.11 g/cm3
# **Formation energy from the elements**: 3.5 eV/f.u.